The following is a PBE calculation of an optimized crystal structure of PbO2, from the Alexandria database.

Calculated values
The uncorrected energy is -5.3696 eV per atom. The calculation puts the uncorrected formation energy at -80 kJ per mole of atoms. Its space-group type is Pbcn, No. 60.

```
12
Lattice="5.102 0.000 0.000 0.000 5.576 0.000 0.000 0.000 6.064" Properties=species:S:1:pos:R:3 pbc="T T T"
O 1.358 0.401 5.483
O 1.193 3.189 3.614
O 3.744 2.387 5.483
O 3.909 5.175 3.614
O 3.744 5.175 0.581
O 3.909 2.387 2.451
O 1.358 3.189 0.581
O 1.193 0.401 2.451
Pb 0.000 1.394 4.102
Pb 2.551 4.182 4.995
Pb 0.000 4.182 1.963
Pb 2.551 1.394 1.069
```